Sr2NiPdN | PBE-GGA | relaxed

Summary:
* calculated volume: 20.72 Å³ per atom
* crystal system: tetragonal
* size of the total moment: 0.00 μB per cell
* energy relative to the elements, uncorrected: -532 meV/atom

Lattice parameters (Å, degrees): 5.3834 5.3834 3.5750 90.00 90.00 90.00
Closest atoms and distances in Å follow each position.
Space group P4/mmm (No. 123)
Symmetry-distinct sites (fractional):
1 Sr 0.0000 0.5000 0.0000 [2 per cell]  2 N 2.69
2 Ni 0.0000 0.0000 0.5000 [1 per cell]  2 N 1.79
3 Pd 0.5000 0.5000 0.5000 [1 per cell]  8 Sr 3.23, 2 Pd 3.58
4 N 0.0000 0.0000 0.0000 [1 per cell]  2 Ni 1.79

---

Mn3BeAg | PBE-GGA | relaxed

Summary:
* calculated volume: 22.70 Å³ per atom
* crystal system: cubic
* size of the total moment: 12.48 μB per cell
* relative energy among the computed polymorphs: 0.956 eV per atom
* ΔE_f: 1.59 eV per atom

Lattice parameters (Å, degrees): 4.8414 4.8414 4.8414 90.00 90.00 90.00
Closest atoms and distances in Å follow each position.
Space group Pm-3m (No. 221)
Symmetry-distinct sites (fractional):
1 Mn 0.0000 0.0000 0.5000 [3 per cell]  2 Ag 2.42
2 Be 0.5000 0.5000 0.5000 [1 per cell]  12 Mn 3.42
3 Ag 0.0000 0.0000 0.0000 [1 per cell]  6 Mn 2.42

---

BaRuRh | PBE-GGA | relaxed

Summary:
* calculated volume: 25.75 Å³ per atom
* crystal system: trigonal
* size of the total moment: 0.00 μB per cell
* relative energy among the computed polymorphs: 0.000 eV per atom
* ΔE_f: 0.30 eV per atom

Lattice parameters (Å, degrees): 4.1458 4.1458 5.1908 90.00 90.00 120.00
Closest atoms and distances in Å follow each position.
Space group P3m1 (No. 156)
Symmetry-distinct sites (fractional):
1 Ba 0.0000 0.0000 0.0000 [1 per cell]  6 Ru 3.36-3.71, 6 Rh 3.37-3.70
2 Ru 0.3333 0.6667 0.4547 [1 per cell]  3 Rh 2.44
3 Rh 0.6667 0.3333 0.5442 [1 per cell]  3 Ru 2.44